The following is a GGA-PBE calculation of an optimized crystal structure of Sc3WI, from the Alexandria database.

abc: 5.201 5.201 5.201
angles: 90.00 90.00 90.00
Atoms (fractional coordinates):
Sc 0.500 0.000 0.000
Sc 0.000 0.000 0.500
Sc 0.000 0.500 0.000
W 0.000 0.000 0.000
I 0.500 0.500 0.500

Computed properties:
- Distance to the lowest polymorph of the same formula: 0.00 eV/f.u.
- Crystal system: cubic
- Calculated density: 5.26 g cm⁻³
- Volume: 28.14 Å³ per atom
- Spin magnetization: 0.000 μB per cell
- Formation energy from raw total energies: 0.520 eV per atom
- Total DFT energy (no corrections): -30.90 eV per cell